# GGA-PBE Y2CoPt2, relaxed
data_Y2CoPt2
_symmetry_space_group_name_H-M 'P 4/m b m'
_symmetry_Int_Tables_number 127
_symmetry_space_group_name_Hall '-P 4 2ab'
_cell_length_a 6.974
_cell_length_b 6.974
_cell_length_c 4.154
_cell_angle_alpha 90.00
_cell_angle_beta 90.00
_cell_angle_gamma 90.00
loop_
_atom_site_label
_atom_site_type_symbol
_atom_site_fract_x
_atom_site_fract_y
_atom_site_fract_z
_atom_site_occupancy
Y1 Y 0.173 0.327 0.000 1
Co1 Co 0.000 0.000 0.500 1
Pt1 Pt 0.139 0.639 0.500 1
# - Magnetization: 0.0 μB per formula unit
# - Calculated formation energy: -687 meV per atom

=====

# GGA-PBE PmPrYHo3, relaxed
data_PmPrYHo3
_symmetry_space_group_name_H-M 'C m c m'
_symmetry_Int_Tables_number 63
_symmetry_space_group_name_Hall '-C 2c 2'
_cell_length_a 5.915
_cell_length_b 11.238
_cell_length_c 11.838
_cell_angle_alpha 90.00
_cell_angle_beta 90.00
_cell_angle_gamma 90.00
loop_
_atom_site_label
_atom_site_type_symbol
_atom_site_fract_x
_atom_site_fract_y
_atom_site_fract_z
_atom_site_occupancy
Pm1 Pm 0.000 0.002 0.250 1
Pr1 Pr 0.000 0.500 0.000 1
Y1 Y 0.000 0.327 0.250 1
Ho1 Ho 0.000 0.172 0.502 1
Ho2 Ho 0.000 0.328 0.750 1
# - Magnetization: 0.0 μB per formula unit
# - Calculated formation energy: 113 meV per atom

=====

# GGA-PBE DyTm2Te2, relaxed
data_DyTm2Te2
_symmetry_space_group_name_H-M 'C m c 21'
_symmetry_Int_Tables_number 36
_symmetry_space_group_name_Hall 'C 2c -2'
_cell_length_a 4.071
_cell_length_b 17.259
_cell_length_c 8.036
_cell_angle_alpha 90.00
_cell_angle_beta 90.00
_cell_angle_gamma 90.00
loop_
_atom_site_label
_atom_site_type_symbol
_atom_site_fract_x
_atom_site_fract_y
_atom_site_fract_z
_atom_site_occupancy
Dy1 Dy 0.000 0.127 0.000 1
Tm1 Tm 0.000 0.318 0.842 1
Tm2 Tm 0.000 0.477 0.170 1
Te1 Te 0.000 0.053 0.395 1
Te2 Te 0.000 0.303 0.228 1
# - Total DFT energy (no corrections): -4.891 eV per atom
# - Magnetization: 0.0 μB per formula unit

=====

# GGA-PBE NdTm2ScTl2, relaxed
data_NdTm2ScTl2
_symmetry_space_group_name_H-M 'P m c 21'
_symmetry_Int_Tables_number 26
_symmetry_space_group_name_Hall 'P 2c -2'
_cell_length_a 4.994
_cell_length_b 9.801
_cell_length_c 6.834
_cell_angle_alpha 90.00
_cell_angle_beta 90.00
_cell_angle_gamma 90.00
loop_
_atom_site_label
_atom_site_type_symbol
_atom_site_fract_x
_atom_site_fract_y
_atom_site_fract_z
_atom_site_occupancy
Nd1 Nd 0.000 0.046 0.000 1
Tm1 Tm 0.000 0.316 0.392 1
Tm2 Tm 0.500 0.453 0.099 1
Sc1 Sc 0.500 0.200 0.716 1
Tl1 Tl 0.000 0.366 0.841 1
Tl2 Tl 0.500 0.131 0.276 1
# - Magnetization: 0.0 μB per formula unit
# - Calculated formation energy: -248 meV per atom

=====

What is the magnetization in the fourth record? 0.0 μB per formula unit